[1]
The following is a GGA-PBE calculation of a relaxed Cs2Si2BiSe6 crystal, from the Alexandria database.

The structure in POSCAR format:
```
Cs2Si2BiSe6
1.0
7.576 0.000 0.000
3.788 6.561 0.000
3.788 2.187 7.387
Se Bi Si Cs
6 1 2 2
Direct
0.745 0.745 0.278
0.255 0.769 0.722
0.769 0.255 0.722
0.745 0.231 0.278
0.255 0.255 0.722
0.231 0.745 0.278
0.000 0.000 0.000
0.556 0.556 0.332
0.444 0.444 0.668
0.240 0.240 0.280
0.760 0.760 0.720
```

Properties
Energy relative to the elements, uncorrected: -0.58 eV per atom
Total DFT energy (no corrections): -3.979 eV per atom

---

[2]
The following is a GGA-PBE calculation of a relaxed LiTiSi3O8 crystal, from the Alexandria database.

The structure in POSCAR format:
```
LiTiSi3O8
1.0
-3.558 -1.304 -6.635
3.722 -0.932 -6.108
3.497 -6.026 1.555
O Ti Si Li
16 2 6 2
Direct
0.111 0.673 0.900
0.423 0.553 0.746
0.742 0.535 0.677
0.441 0.916 0.718
0.990 0.751 0.500
0.889 0.327 0.100
0.692 0.153 0.641
0.726 0.697 0.209
0.010 0.249 0.500
0.153 0.041 0.914
0.577 0.447 0.254
0.559 0.084 0.282
0.308 0.847 0.359
0.274 0.303 0.791
0.847 0.959 0.086
0.258 0.465 0.323
0.180 0.773 0.129
0.820 0.227 0.871
0.195 0.572 0.734
0.525 0.282 0.390
0.805 0.428 0.266
0.786 0.869 0.270
0.475 0.718 0.610
0.214 0.131 0.730
0.770 0.844 0.821
0.230 0.156 0.179
```

Properties
Energy relative to the lowest polymorph listed for this composition: 0 kJ/mol of formula units
Energy relative to the elements, uncorrected: -2.68 eV per atom
Total DFT energy (no corrections): -7.733 eV per atom

---

[3]
The following is a GGA-PBE calculation of a relaxed K2CuBiI6 crystal, from the Alexandria database.

The structure in POSCAR format:
```
K2CuBiI6
1.0
8.480 0.000 0.159
0.000 8.854 0.000
0.301 0.000 10.891
Bi I K Cu
2 12 4 2
Direct
0.500 0.000 0.000
0.000 0.500 0.500
0.603 0.024 0.276
0.897 0.524 0.224
0.800 0.805 0.946
0.300 0.695 0.446
0.194 0.206 0.453
0.103 0.476 0.776
0.397 0.976 0.724
0.700 0.305 0.554
0.806 0.794 0.547
0.306 0.706 0.047
0.694 0.294 0.953
0.200 0.195 0.054
0.523 0.584 0.753
0.477 0.416 0.247
0.023 0.916 0.253
0.977 0.084 0.747
0.500 0.000 0.500
0.000 0.500 0.000
```

Properties
Energy relative to the lowest polymorph listed for this composition: 0 kJ/mol of formula units
Energy relative to the elements, uncorrected: -0.76 eV per atom
Total DFT energy (no corrections): -2.704 eV per atom

---

[4]
The following is a GGA-PBE calculation of a relaxed LaTl3Sb2O9 crystal, from the Alexandria database.

The structure in POSCAR format:
```
LaTl3Sb2O9
1.0
-1.784 5.235 2.115
-3.568 -3.137 -3.535
-2.961 -3.454 6.053
O Sb Tl La
9 2 3 1
Direct
0.500 0.000 0.000
0.500 0.500 0.000
0.828 0.656 0.706
0.656 0.828 0.294
0.000 0.500 0.000
0.172 0.344 0.294
0.344 0.172 0.706
0.172 0.828 0.294
0.828 0.172 0.706
0.333 0.667 0.155
0.667 0.333 0.845
0.333 0.667 0.685
0.667 0.333 0.315
0.000 0.000 0.000
0.000 0.000 0.500
```

Properties
Energy relative to the elements, uncorrected: -1.34 eV per atom
Total DFT energy (no corrections): -5.670 eV per atom

---

[5]
The following is a GGA-PBE calculation of a relaxed TiTcNi2Se crystal, from the Alexandria database.

The structure in POSCAR format:
```
TiTcNi2Se
1.0
-4.501 -0.294 -0.474
0.258 -4.563 0.382
-0.496 0.348 4.495
Ni Se Ti Tc
2 1 1 1
Direct
0.500 0.000 0.000
0.000 0.000 0.500
0.500 0.500 0.500
0.000 0.500 0.000
0.000 0.000 0.000
```

Properties
Energy relative to the elements, uncorrected: 0.94 eV per atom
Total DFT energy (no corrections): -5.718 eV per atom

---

[6]
The following is a GGA-PBE calculation of a relaxed YH3Rh crystal, from the Alexandria database.

The structure in POSCAR format:
```
YH3Rh
1.0
-10.872 7.748 -5.007
-5.884 0.926 -1.446
4.012 -1.702 4.310
H Rh Y
6 2 2
Direct
0.935 0.754 0.246
0.312 0.584 0.416
0.326 0.340 0.660
0.674 0.660 0.340
0.065 0.246 0.754
0.688 0.416 0.584
0.651 0.995 0.005
0.349 0.005 0.995
0.178 0.924 0.076
0.822 0.076 0.924
```

Properties
Total DFT energy (no corrections): -5.242 eV per atom

---

[7]
The following is a GGA-PBE calculation of a relaxed AcCeSbPb crystal, from the Alexandria database.

The structure in POSCAR format:
```
AcCeSbPb
1.0
5.684 0.000 0.000
2.842 4.922 0.000
2.842 1.641 4.641
Pb Sb Ce Ac
1 1 1 1
Direct
0.750 0.750 0.750
0.250 0.250 0.250
0.500 0.500 0.500
0.000 0.000 0.000
```

Properties
Energy relative to the elements, uncorrected: -0.57 eV per atom
Total DFT energy (no corrections): -5.039 eV per atom

---

[8]
The following is a GGA-PBE calculation of a relaxed ZnPd3O crystal, from the Alexandria database.

The structure in POSCAR format:
```
ZnPd3O
1.0
4.648 0.000 0.000
0.000 4.648 0.000
0.000 0.000 4.648
Pd Zn O
3 1 1
Direct
0.000 0.000 0.500
0.500 0.000 0.000
0.000 0.500 0.000
0.000 0.000 0.000
0.500 0.500 0.500
```

Properties
Energy relative to the lowest polymorph listed for this composition: 569 kJ/mol of formula units
Energy relative to the elements, uncorrected: 1.11 eV per atom
Total DFT energy (no corrections): -3.250 eV per atom